Record 1
This record from Alexandria via LeMat-Bulk describes a crystal of YInFe relaxed with PBEsol. The functional is meta-GGA SCAN.

Summary:
VASP energy   -26.552 eV per atom
Formation energy from the elements   -0.0992 eV/atom
SG   I4mm (107)

Cell lengths 5.829, 5.829, 5.829 Å; angles 146.62, 146.62, 47.92 degrees
Positions (direct):
Y1 0.000 0.000 0.000
In1 0.290 0.290 0.000
Fe1 0.663 0.663 0.000

Record 2
This record from Alexandria via LeMat-Bulk describes a crystal of Ca2ScMo relaxed with PBEsol. The functional is meta-GGA SCAN.

Summary:
VASP energy   -16.321 eV per atom
Formation energy from the elements   0.7913 eV/atom
ΔE to the lowest computed polymorph   0.1143 eV/atom
SG   R-3m (166)

Cell lengths 11.208, 11.208, 11.208 Å; angles 16.38, 16.38, 16.38 degrees
Positions (direct):
Ca1 0.241 0.241 0.241
Ca2 0.759 0.759 0.759
Sc1 0.000 0.000 0.000
Mo1 0.500 0.500 0.500

Record 3
This record from Alexandria via LeMat-Bulk describes a crystal of NaCu2Cl2 relaxed with PBEsol. The functional is meta-GGA SCAN.

Summary:
VASP energy   -10.608 eV per atom
Formation energy from raw total energies   -0.4944 eV/atom
SG   I4/mmm (139)

Cell lengths 7.747, 7.747, 7.747 Å; angles 154.16, 154.16, 36.87 degrees
Positions (direct):
Na1 0.000 0.000 0.000
Cu1 0.250 0.750 0.500
Cu2 0.750 0.250 0.500
Cl1 0.391 0.391 0.000
Cl2 0.609 0.609 0.000